Ac2NiSbO6: relaxed, PBE with a Hubbard U.

a b c (Å): 5.8350 5.9230 10.1019
angles (deg): 90.00 125.01 90.00
Space group P2_1/c (No. 14)
Symmetry-distinct sites (fractional):
Ac 0.2395 0.0421 0.2491 [4 per cell]
Ni 0.0000 0.0000 0.5000 [2 per cell]
Sb 0.5000 0.0000 0.0000 [2 per cell]
O 0.1664 0.2114 0.9560 [4 per cell]
O 0.2438 0.7111 0.9549 [4 per cell]
O 0.3318 0.0238 0.7488 [4 per cell]

Computed properties:
Mass density: 8.5 Mg/m³
Total DFT energy (no corrections): -6.76 eV/atom
Magnetization: 2.6 Bohr magnetons per cell
Calculated volume: 285.9 Å³ per cell
DOS at the Fermi energy: 4.851 states/eV per cell